A plane-wave DFT calculation with PBE was carried out for an optimized crystal structure of KSiTe2.

Unit cell a=5.106 b=5.106 c=4.307 alpha=90.00 beta=90.00 gamma=90.00
Space group P4/mmm (No. 123)
Unique sites:
K: 0.000 0.000 0.000 x1
Si: 0.500 0.500 0.000 x1
Te: 0.000 0.500 0.500 x2

* uncorrected formation energy: 8.5 kJ per mole of atoms
* DOS(E_F): 2.60 states/eV per cell

=====

A plane-wave DFT calculation with PBE was carried out for an optimized crystal structure of CaLaGa.

Unit cell a=5.520 b=3.840 c=17.140 alpha=90.00 beta=90.00 gamma=90.00
Space group Amm2 (No. 38)
Unique sites:
Ca: 0.000 0.000 0.000 x2
Ca: 0.000 0.000 0.292 x2
La: 0.500 0.000 0.145 x2
La: 0.500 0.000 0.852 x2
Ga: 0.000 0.000 0.656 x2
Ga: 0.500 0.000 0.495 x2

* distance to the lowest polymorph of the same formula: 147 meV per atom
* DOS(E_F): 9.04 states/eV per cell
* energy of formation from the pure elements: -0.2962 eV per atom

=====

Repeat the second record exactly.
A plane-wave DFT calculation with PBE was carried out for an optimized crystal structure of CaLaGa.

Unit cell a=5.520 b=3.840 c=17.140 alpha=90.00 beta=90.00 gamma=90.00
Space group Amm2 (No. 38)
Unique sites:
Ca: 0.000 0.000 0.000 x2
Ca: 0.000 0.000 0.292 x2
La: 0.500 0.000 0.145 x2
La: 0.500 0.000 0.852 x2
Ga: 0.000 0.000 0.656 x2
Ga: 0.500 0.000 0.495 x2

* distance to the lowest polymorph of the same formula: 147 meV per atom
* DOS(E_F): 9.04 states/eV per cell
* energy of formation from the pure elements: -0.2962 eV per atom

=====

DOS(E_F) of number 1 (KSiTe2)? 2.60 states/eV per cell